Entry 1:
Pm2Cd2Pd15 | PBE-GGA | relaxed

## Properties
- Formation energy from the elements: -0.388 eV per atom
- SG: R-3m (166)
- Total DFT energy (no corrections): -96.596 eV/f.u.

abc: 7.0370 7.0370 7.0370
angles: 81.56 81.56 81.56
Sites, in units of the cell vectors:
Pd 0.6521 0.6521 0.1596
Pd 0.0000 0.3094 0.6906
Pd 0.6906 0.0000 0.3094
Pd 0.6906 0.3094 0.0000
Pd 0.1596 0.6521 0.6521
Pd 0.8404 0.3479 0.3479
Pd 0.0000 0.6906 0.3094
Pd 0.0000 0.5000 0.0000
Pd 0.3094 0.6906 0.0000
Pd 0.6521 0.1596 0.6521
Pd 0.3479 0.8404 0.3479
Pd 0.3094 0.0000 0.6906
Pd 0.5000 0.0000 0.0000
Pd 0.0000 0.0000 0.5000
Pd 0.3479 0.3479 0.8404
Cd 0.0995 0.0995 0.0995
Cd 0.9005 0.9005 0.9005
Pm 0.3490 0.3490 0.3490
Pm 0.6510 0.6510 0.6510

---

Entry 2:
Pm2Ga5PdRu2 | PBE-GGA | relaxed

## Properties
- Formation energy from the elements: -0.429 eV per atom
- SG: P4/mbm (127)
- Total DFT energy (no corrections): -52.669 eV/f.u.

abc: 3.2406 10.6350 10.6350
angles: 90.00 90.00 90.00
Sites, in units of the cell vectors:
Ru 0.0000 0.3736 0.1264
Ru 0.0000 0.6264 0.8736
Ru 0.0000 0.1264 0.6264
Ru 0.0000 0.8736 0.3736
Ga 0.5000 0.3062 0.5534
Ga 0.5000 0.5534 0.6938
Ga 0.5000 0.9466 0.1938
Ga 0.5000 0.6938 0.4466
Ga 0.5000 0.1938 0.0534
Ga 0.5000 0.0000 0.5000
Ga 0.5000 0.8062 0.9466
Ga 0.5000 0.5000 0.0000
Ga 0.5000 0.4466 0.3062
Ga 0.5000 0.0534 0.8062
Pm 0.0000 0.6826 0.1826
Pm 0.0000 0.8174 0.6826
Pm 0.0000 0.1826 0.3174
Pm 0.0000 0.3174 0.8174
Pd 0.0000 0.0000 0.0000
Pd 0.0000 0.5000 0.5000

---

Entry 3:
Mo2IrAu | PBE-GGA | relaxed

## Properties
- Formation energy from the elements: 0.083 eV per atom
- Energy above the lowest structure with this stoichiometry: 97.1 meV per atom
- SG: P4mm (99)
- Total DFT energy (no corrections): -33.470 eV/f.u.

abc: 2.7760 2.7760 8.3541
angles: 90.00 90.00 89.97
Sites, in units of the cell vectors:
Mo 0.5000 0.5000 0.2459
Mo 0.0000 0.0000 0.9830
Au 0.0000 0.0000 0.5012
Ir 0.5000 0.5000 0.7699

---

Entry 4:
LiThSn2Au4 | PBE-GGA | relaxed

## Properties
- Formation energy from the elements: -0.514 eV per atom
- SG: R-3m (166)
- Total DFT energy (no corrections): -34.561 eV/f.u.

abc: 4.7455 4.7455 9.0784
angles: 74.85 74.85 60.00
Sites, in units of the cell vectors:
Th 0.0000 0.0000 0.0000
Au 0.6107 0.6107 0.1680
Au 0.3893 0.3893 0.8320
Au 0.8652 0.8652 0.4044
Au 0.1348 0.1348 0.5956
Sn 0.2442 0.2442 0.2673
Sn 0.7558 0.7558 0.7327
Li 0.5000 0.5000 0.5000

---

Entry 5:
NaAgS4 | PBE-GGA | relaxed

## Properties
- Uncorrected formation energy: -0.20 eV/atom
- SG: C2/c (15)
- Total DFT energy (no corrections): -21.899 eV/f.u.

abc: 7.9917 6.5228 7.6334
angles: 118.72 124.54 84.15
Sites, in units of the cell vectors:
S 0.5664 0.3394 0.0269
S 0.8537 0.6553 0.6988
S 0.3451 0.0435 0.6988
S 0.6549 0.9565 0.3012
S 0.1463 0.3447 0.3012
S 0.9605 0.6875 0.0269
S 0.0395 0.3125 0.9731
S 0.4336 0.6606 0.9731
Na 0.4279 0.6779 0.3557
Na 0.5721 0.3221 0.6443
Ag 0.8833 0.1333 0.2667
Ag 0.1167 0.8667 0.7333

---

Entry 6:
BaLi2CeBr8 | PBE-GGA | relaxed

## Properties
- Uncorrected formation energy: -1.62 eV/atom
- SG: P-3 (147)
- Total DFT energy (no corrections): -44.480 eV/f.u.

abc: 6.7771 6.7771 9.7729
angles: 90.00 90.00 120.00
Each line ends with the local moment (μB).
Sites, in units of the cell vectors:
Br 0.6939 0.6698 0.6814  0.00
Br 0.0241 0.6939 0.3186  0.00
Br 0.3061 0.3302 0.3186  0.00
Br 0.3302 0.0241 0.6814  0.00
Br 0.9759 0.3061 0.6814  0.00
Br 0.6698 0.9759 0.3186  0.00
Br 0.6667 0.3333 0.0025  0.00
Br 0.3333 0.6667 0.9975  0.00
Li 0.3333 0.6667 0.7518  0.00
Li 0.6667 0.3333 0.2482  0.00
Ce 0.0000 0.0000 0.5000  0.13
Ba 0.0000 0.0000 0.0000  0.00

---

Entry 7:
Yb3Pm | PBE-GGA | relaxed

## Properties
- Formation energy from the elements: -0.075 eV per atom
- SG: Fm-3m (225)
- Total DFT energy (no corrections): -9.628 eV/f.u.

abc: 5.7954 5.7954 5.7954
angles: 60.00 60.00 60.00
Each line ends with the local moment (μB).
Sites, in units of the cell vectors:
Pm 0.0000 0.0000 0.0000  -0.03
Yb 0.5000 0.5000 0.5000  0.16
Yb 0.7500 0.7500 0.7500  0.16
Yb 0.2500 0.2500 0.2500  0.16

---

Entry 8:
PmY3Pt | PBE-GGA | relaxed

## Properties
- Formation energy from the elements: -0.465 eV per atom
- SG: P2_1/m (11)
- Total DFT energy (no corrections): -32.509 eV/f.u.

abc: 5.1273 6.5121 8.7914
angles: 96.37 90.00 89.99
Sites, in units of the cell vectors:
Y 0.3756 0.4091 0.1964
Y 0.3757 0.8910 0.3953
Y 0.3755 0.8530 0.9710
Y 0.8756 0.4618 0.5063
Y 0.8755 0.4998 0.9305
Y 0.8757 0.9437 0.7051
Pm 0.3756 0.2831 0.7336
Pm 0.8755 0.0697 0.1680
Pt 0.8756 0.6461 0.2394
Pt 0.3760 0.7067 0.6621

---

Entry 9:
YHf2P2 | PBE-GGA | relaxed

## Properties
- Formation energy from the elements: -0.915 eV per atom
- Energy above the lowest structure with this stoichiometry: 111.9 meV per atom
- SG: I4/mmm (139)
- Total DFT energy (no corrections): -41.764 eV/f.u.

abc: 4.0969 4.0969 6.4920
angles: 71.61 71.61 90.00
Sites, in units of the cell vectors:
Hf 0.2500 0.7500 0.5000
Hf 0.7500 0.2500 0.5000
P 0.3957 0.3957 0.2087
P 0.6043 0.6043 0.7913
Y 0.0000 0.0000 0.0000

---

Entry 10:
Pr7SmEr3 | PBE-GGA | relaxed

## Properties
- Formation energy from the elements: 0.230 eV per atom
- Energy above the lowest structure with this stoichiometry: 45.0 meV per atom
- SG: C2/m (12)
- Total DFT energy (no corrections): -49.332 eV/f.u.

abc: 6.4795 7.8498 7.8466
angles: 82.02 94.62 94.65
Sites, in units of the cell vectors:
Sm 0.5000 0.5000 0.5000
Pr 0.2602 0.5775 0.9279
Pr 0.2602 0.9278 0.5775
Pr 0.0000 0.5000 0.5000
Pr 0.2154 0.2353 0.2353
Pr 0.7398 0.4225 0.0721
Pr 0.7846 0.7647 0.7647
Pr 0.7398 0.0722 0.4225
Er 0.0000 0.8328 0.1672
Er 0.0000 0.1672 0.8328
Er 0.5000 0.0000 0.0000

---

Entry 11:
Sb2POs | PBE-GGA | relaxed

## Properties
- Uncorrected formation energy: 0.38 eV/atom
- SG: Imm2 (44)
- Total DFT energy (no corrections): -23.366 eV/f.u.

abc: 6.3364 6.3364 6.3364
angles: 151.52 135.31 53.85
Sites, in units of the cell vectors:
Sb 0.3024 0.8024 0.5000
Sb 0.0007 0.0007 0.0000
P 0.6765 0.1765 0.5000
Os 0.5204 0.5204 0.0000

---

Entry 12:
YInPt | PBE-GGA | relaxed

## Properties
- Formation energy from the elements: -0.749 eV per atom
- SG: I4mm (107)
- Total DFT energy (no corrections): -17.490 eV/f.u.

abc: 6.0052 6.0046 3.4833
angles: 73.15 73.13 33.72
Sites, in units of the cell vectors:
Pt 0.3383 0.3383 0.6617
Y 0.6829 0.6829 0.3171
In 0.9789 0.9789 0.0211